DFT (PBE) results for a relaxed structure of TlPBr3.

The size of the total moment is 0.000 Bohr magnetons per cell. The calculation puts the distance to the lowest polymorph of the same formula at 0.000 eV/atom. For the raw formation energy, the calculation gives -498 meV per atom.

The structure belongs to space group P1 (No. 1); the cell edges are 6.191, 6.276 and 10.602 Å and the angles 84.43°, 82.80° and 89.15°. The asymmetric unit holds Tl at (0.000, 0.000, 0.000), Tl at (0.481, 0.503, 0.015), P at (0.682, 0.196, 0.419), P at (0.797, 0.305, 0.596), Br at (0.023, 0.131, 0.325), Br at (0.456, 0.371, 0.690), Br at (0.495, 0.998, 0.108), Br at (0.622, 0.534, 0.333), Br at (0.857, 0.968, 0.682) and Br at (0.986, 0.505, 0.906).

***

DFT (PBE) results for a relaxed structure of Tl3PBr.

The size of the total moment is 0.000 Bohr magnetons per cell. The calculation puts the distance to the lowest polymorph of the same formula at 0.000 eV/atom. For the raw formation energy, the calculation gives 15 meV per atom.

The structure belongs to space group Pm-3m (No. 221); the cell edges are 5.658, 5.658 and 5.658 Å and the angles 90.00°, 90.00° and 90.00°. The asymmetric unit holds Tl at (0.000, 0.000, 0.500), P at (0.000, 0.000, 0.000) and Br at (0.500, 0.500, 0.500).

***

DFT (PBE) results for a relaxed structure of TlPBr2.

The size of the total moment is 0.000 Bohr magnetons per cell. The calculation puts the distance to the lowest polymorph of the same formula at 0.000 eV/atom. For the raw formation energy, the calculation gives -94 meV per atom.

The structure belongs to space group C2/m (No. 12); the cell edges are 13.268, 3.742 and 5.744 Å and the angles 90.00°, 115.43° and 90.00°. The asymmetric unit holds Tl at (0.000, 0.000, 0.000), P at (0.000, 0.500, 0.500) and Br at (0.156, 0.000, 0.656).

***

DFT (PBE) results for a relaxed structure of Tl12P5Br3.

The size of the total moment is 0.000 Bohr magnetons per cell. For the raw formation energy, the calculation gives 68 meV per atom.

The structure belongs to space group Ia-3d (No. 230); the cell edges are 17.868, 17.868 and 17.868 Å and the angles 90.00°, 90.00° and 90.00°. The asymmetric unit holds Tl at (0.021, 0.058, 0.652), P at (0.000, 0.000, 0.000), P at (0.000, 0.250, 0.375) and Br at (0.000, 0.250, 0.125).